No. 1
A relaxed structure of NbCr2FePt. Source: the Alexandria database, functional PBE-GGA.

abc: 4.393 4.482 4.393
angles: 90.00 90.00 90.00
Each line ends with the local moment (μB).
Element x y z (fractional)
Cr  0.000  0.000  0.500  0.12
Cr  0.500  0.000  0.000  -0.04
Nb  0.000  0.000  0.000  -0.19
Fe  0.000  0.500  0.000  2.31
Pt  0.500  0.500  0.500  0.06

Output
total DFT energy (no corrections)	-35.444	eV/cell
energy of formation	1675	meV/atom



No. 2
A relaxed structure of NbCrFe2S. Source: the Alexandria database, functional PBE-GGA.

abc: 4.262 4.214 4.262
angles: 90.00 90.00 90.00
Each line ends with the local moment (μB).
Element x y z (fractional)
S  0.000  0.500  0.000  0.08
Cr  0.000  0.000  0.000  -0.69
Nb  0.500  0.500  0.500  -0.77
Fe  0.000  0.000  0.500  1.96
Fe  0.500  0.000  0.000  1.87

Output
total DFT energy (no corrections)	-36.635	eV/cell
uncorrected formation energy	0.82	eV per atom



No. 3
A relaxed structure of ScNbCrFe. Source: the Alexandria database, functional PBE-GGA.

abc: 4.414 4.414 4.414
angles: 60.00 60.00 60.00
Each line ends with the local moment (μB).
Element x y z (fractional)
Sc  0.000  0.000  0.000  -0.05
Cr  0.250  0.250  0.250  1.54
Nb  0.500  0.500  0.500  -0.43
Fe  0.750  0.750  0.750  0.48

Output
total DFT energy (no corrections)	-34.183	eV/cell
energy of formation	76	meV/atom